# 1
Compound: Mn2ZnHg
Source: the Alexandria database
Functional: PBE
Structure: relaxed

Computed properties:
Magnetic moment = 1.60 μB per atom
E_form = 0.35 eV/atom
Offset from the most stable computed form = 0.158 eV/atom
Fermi-level density of states = 0.598 states/eV/atom
SG = R3m (160)

Lattice parameters (Å, degrees): 9.229 9.229 9.229 18.01 18.01 18.01
Fractional positions:
1 Mn 0.000 0.000 0.000
2 Mn 0.259 0.259 0.259
3 Zn 0.742 0.742 0.742
4 Hg 0.504 0.504 0.504

# 2
Compound: Y6Hg8Pb
Source: the Alexandria database
Functional: PBE
Structure: relaxed

Computed properties:
Magnetic moment = 0.00 μB per atom
E_form = -0.36 eV/atom
Fermi-level density of states = 0.695 states/eV/atom
SG = R-3 (148)

Lattice parameters (Å, degrees): 8.087 8.087 8.087 65.70 65.70 65.70
Fractional positions:
1 Y 0.112 0.815 0.376
2 Y 0.185 0.624 0.888
3 Y 0.376 0.112 0.815
4 Y 0.624 0.888 0.185
5 Y 0.815 0.376 0.112
6 Y 0.888 0.185 0.624
7 Hg 0.046 0.435 0.686
8 Hg 0.199 0.199 0.199
9 Hg 0.314 0.954 0.565
10 Hg 0.435 0.686 0.046
11 Hg 0.565 0.314 0.954
12 Hg 0.686 0.046 0.435
13 Hg 0.801 0.801 0.801
14 Hg 0.954 0.565 0.314
15 Pb 0.500 0.500 0.500

# 3
Compound: LaSb3
Source: the Alexandria database
Functional: PBE
Structure: relaxed

Computed properties:
Formation energy (no corrections) = -0.079 eV per atom
Magnetic moment = 0.00 μB per atom
Fermi-level density of states = 0.523 states/eV/atom
SG = R-3m (166)

Lattice parameters (Å, degrees): 11.420 11.420 11.420 17.28 17.28 17.28
Fractional positions:
1 La 0.000 0.000 0.000
2 Sb 0.251 0.251 0.251
3 Sb 0.500 0.500 0.500
4 Sb 0.749 0.749 0.749

# 4
Compound: KCaCd2
Source: the Alexandria database
Functional: PBE
Structure: relaxed

Computed properties:
Magnetic moment = 0.00 μB per atom
E_form = -0.02 eV/atom
Offset from the most stable computed form = 0.119 eV/atom
Fermi-level density of states = 0.476 states/eV/atom
SG = I-4m2 (119)

Lattice parameters (Å, degrees): 6.341 6.341 6.341 134.43 134.43 66.41
Fractional positions:
1 K 0.000 0.000 0.000
2 Ca 0.250 0.750 0.500
3 Cd 0.500 0.500 0.000
4 Cd 0.750 0.250 0.500